The following is a DFT calculation (GGA-PBE) of an optimized crystal structure of LaSi2Mo.

a b c (Å): 5.334 5.334 5.334
angles (deg): 133.82 133.82 67.37
Sites, in units of the cell vectors:
Si: 0.250 0.750 0.500
Si: 0.000 0.000 0.000
La: 0.500 0.500 0.000
Mo: 0.750 0.250 0.500

Computed properties:
- Energy relative to the lowest polymorph listed for this composition: 750 meV per atom
- Raw formation energy: 1.2 eV per formula unit
- SG: I-4m2, No. 119
- Raw total energy: -25.383 eV per cell
- Density of states at the Fermi level: 3.9 states/eV/f.u.